1.
Below is crystalline Ce3CdHg5 at its relaxed geometry, with properties calculated at the GGA-PBE level.

Values from the calculation:
The crystal system is hexagonal.

abc: 9.1814 9.1814 6.5256
angles: 90.00 90.00 120.00
Space group P6_3/mcm (No. 193)
One atom of each set of equivalent atoms:
Ce: 0.0000 0.3499 0.2500 [6 per cell]
Cd: 0.0000 0.0000 0.0000 [2 per cell]
Hg: 0.0000 0.3134 0.7500 [6 per cell]
Hg: 0.3333 0.6667 0.0000 [4 per cell]


2.
Below is crystalline CeCd2Hg at its relaxed geometry, with properties calculated at the GGA-PBE level.

Values from the calculation:
The distance to the lowest polymorph of the same formula is 0.35 eV per formula unit. The crystal system is cubic.

abc: 7.3184 7.3184 7.3184
angles: 90.00 90.00 90.00
Space group Fm-3m (No. 225)
One atom of each set of equivalent atoms:
Ce: 0.0000 0.0000 0.0000 [4 per cell]
Cd: 0.2500 0.2500 0.2500 [8 per cell]
Hg: 0.0000 0.0000 0.5000 [4 per cell]


3.
Below is crystalline Ce2Cd3Hg at its relaxed geometry, with properties calculated at the GGA-PBE level.

Values from the calculation:
The distance to the lowest polymorph of the same formula is 0.03 eV per formula unit. The crystal system is orthorhombic.

abc: 3.3067 5.1194 8.8558
angles: 90.00 90.00 90.00
Space group Pmm2 (No. 25)
One atom of each set of equivalent atoms:
Ce: 0.0000 0.0000 0.0000 [1 per cell]
Ce: 0.0000 0.5000 0.4910 [1 per cell]
Cd: 0.5000 0.0000 0.6655 [1 per cell]
Cd: 0.5000 0.5000 0.1589 [1 per cell]
Cd: 0.5000 0.5000 0.8269 [1 per cell]
Hg: 0.5000 0.0000 0.3308 [1 per cell]


4.
Below is crystalline CeCd3Hg at its relaxed geometry, with properties calculated at the GGA-PBE level.

Values from the calculation:
The crystal system is orthorhombic.

abc: 9.4927 5.0752 10.3747
angles: 90.00 90.00 90.00
Space group Pnma (No. 62)
One atom of each set of equivalent atoms:
Ce: 0.2415 0.2500 0.0038 [4 per cell]
Cd: 0.0793 0.2500 0.3751 [4 per cell]
Cd: 0.1083 0.2500 0.6612 [4 per cell]
Cd: 0.1178 0.7500 0.8308 [4 per cell]
Hg: 0.0813 0.7500 0.1247 [4 per cell]


5.
Below is crystalline Ce4CdHg at its relaxed geometry, with properties calculated at the GGA-PBE level.

Values from the calculation:
The distance to the lowest polymorph of the same formula is 0.10 eV per formula unit. The crystal system is monoclinic.

abc: 5.7268 6.5730 8.4602
angles: 90.00 98.92 90.00
Space group P2_1/m (No. 11)
One atom of each set of equivalent atoms:
Ce: 0.0277 0.2500 0.0286 [2 per cell]
Ce: 0.1279 0.5009 0.6559 [4 per cell]
Ce: 0.2284 0.7500 0.2688 [2 per cell]
Cd: 0.3865 0.2500 0.3821 [2 per cell]
Hg: 0.5000 0.0000 0.0000 [2 per cell]


6.
Below is crystalline Ce4CdHg at its relaxed geometry, with properties calculated at the GGA-PBE level.

Values from the calculation:
The distance to the lowest polymorph of the same formula is 0.00 eV per formula unit. The crystal system is orthorhombic.

abc: 5.1438 6.0104 9.4341
angles: 90.00 90.00 90.00
Space group Immm (No. 71)
One atom of each set of equivalent atoms:
Ce: 0.0000 0.2486 0.1768 [8 per cell]
Cd: 0.0000 0.0000 0.5000 [2 per cell]
Hg: 0.0000 0.5000 0.5000 [2 per cell]


7.
Below is crystalline Ce5CdHg6 at its relaxed geometry, with properties calculated at the GGA-PBE level.

Values from the calculation:
The crystal system is orthorhombic.

abc: 5.2492 7.7905 15.8948
angles: 90.00 90.00 90.00
Space group Immm (No. 71)
One atom of each set of equivalent atoms:
Ce: 0.0000 0.0000 0.0000 [2 per cell]
Ce: 0.0000 0.0000 0.3336 [4 per cell]
Ce: 0.0000 0.5000 0.3375 [4 per cell]
Cd: 0.0000 0.5000 0.0000 [2 per cell]
Hg: 0.0000 0.2372 0.5000 [4 per cell]
Hg: 0.0000 0.2587 0.1639 [8 per cell]


8.
Below is crystalline CeCd3Hg3 at its relaxed geometry, with properties calculated at the GGA-PBE level.

Values from the calculation:
The distance to the lowest polymorph of the same formula is 3.22 eV per formula unit. The crystal system is cubic.

abc: 7.7608 7.7608 7.7608
angles: 90.00 90.00 90.00
Space group Pm-3n (No. 223)
One atom of each set of equivalent atoms:
Ce: 0.0000 0.0000 0.0000 [2 per cell]
Cd: 0.0000 0.2500 0.5000 [6 per cell]
Hg: 0.0000 0.5000 0.2500 [6 per cell]


9.
Below is crystalline Ce4Cd3Hg4 at its relaxed geometry, with properties calculated at the GGA-PBE level.

Values from the calculation:
The crystal system is orthorhombic.

abc: 4.7538 7.2190 18.1725
angles: 90.00 90.00 90.00
Space group Immm (No. 71)
One atom of each set of equivalent atoms:
Ce: 0.0000 0.0000 0.1711 [4 per cell]
Ce: 0.0000 0.1903 0.5000 [4 per cell]
Cd: 0.0000 0.0000 0.0000 [2 per cell]
Cd: 0.0000 0.5000 0.1085 [4 per cell]
Hg: 0.0000 0.2211 0.3225 [8 per cell]


10.
Below is crystalline Ce2Cd3Hg5 at its relaxed geometry, with properties calculated at the GGA-PBE level.

Values from the calculation:
The crystal system is orthorhombic.

abc: 12.5273 12.9652 6.4425
angles: 90.00 90.00 90.00
Space group Ibam (No. 72)
One atom of each set of equivalent atoms:
Ce: 0.2378 0.1261 0.0000 [8 per cell]
Cd: 0.0000 0.5000 0.2500 [4 per cell]
Cd: 0.1308 0.1326 0.5000 [8 per cell]
Hg: 0.0000 0.0000 0.2500 [4 per cell]
Hg: 0.0000 0.2637 0.2500 [8 per cell]
Hg: 0.1528 0.3868 0.0000 [8 per cell]


11.
Below is crystalline CeCdHg4 at its relaxed geometry, with properties calculated at the GGA-PBE level.

Values from the calculation:
The distance to the lowest polymorph of the same formula is 0.21 eV per formula unit. The crystal system is monoclinic.

abc: 14.8065 8.2850 5.3341
angles: 90.00 104.03 90.00
Space group C2/m (No. 12)
One atom of each set of equivalent atoms:
Ce: 0.2046 0.0000 0.1406 [4 per cell]
Cd: 0.0548 0.5000 0.7605 [4 per cell]
Hg: 0.0000 0.1873 0.0000 [4 per cell]
Hg: 0.1321 0.1945 0.5943 [8 per cell]
Hg: 0.1647 0.5000 0.2792 [4 per cell]


12.
Below is crystalline Ce2Cd2Hg3 at its relaxed geometry, with properties calculated at the GGA-PBE level.

Values from the calculation:
The distance to the lowest polymorph of the same formula is 0.27 eV per formula unit. The crystal system is orthorhombic.

abc: 4.9008 22.5719 3.2494
angles: 90.00 90.00 90.00
Space group Cmmm (No. 65)
One atom of each set of equivalent atoms:
Ce: 0.0000 0.1480 0.0000 [4 per cell]
Cd: 0.0000 0.2826 0.5000 [4 per cell]
Hg: 0.0000 0.0000 0.0000 [2 per cell]
Hg: 0.0000 0.4256 0.5000 [4 per cell]


13.
Below is crystalline CeCd2Hg at its relaxed geometry, with properties calculated at the GGA-PBE level.

Values from the calculation:
The distance to the lowest polymorph of the same formula is 0.00 eV per formula unit. The crystal system is tetragonal.

abc: 5.1801 5.1801 7.3185
angles: 90.00 90.00 90.00
Space group I-4m2 (No. 119)
One atom of each set of equivalent atoms:
Ce: 0.0000 0.0000 0.0000 [2 per cell]
Cd: 0.0000 0.0000 0.5000 [2 per cell]
Cd: 0.0000 0.5000 0.2500 [2 per cell]
Hg: 0.0000 0.5000 0.7500 [2 per cell]


14.
Below is crystalline CeCd5Hg2 at its relaxed geometry, with properties calculated at the GGA-PBE level.

Values from the calculation:
The crystal system is orthorhombic.

abc: 4.2206 8.5366 10.9524
angles: 90.00 90.00 90.00
Space group Immm (No. 71)
One atom of each set of equivalent atoms:
Ce: 0.0000 0.0000 0.0000 [2 per cell]
Cd: 0.0000 0.1896 0.3626 [8 per cell]
Cd: 0.0000 0.5000 0.0000 [2 per cell]
Hg: 0.0000 0.5000 0.2732 [4 per cell]


15.
Below is crystalline CeCd17Hg at its relaxed geometry, with properties calculated at the GGA-PBE level.

Values from the calculation:
The crystal system is trigonal.

abc: 10.1951 10.1951 15.1663
angles: 90.00 90.00 120.00
Space group R3m (No. 160, hexagonal axes)
One atom of each set of equivalent atoms:
Ce: 0.0000 0.0000 0.0000 [3 per cell]
Cd: 0.0000 0.0000 0.2328 [3 per cell]
Cd: 0.0000 0.0000 0.4319 [3 per cell]
Cd: 0.9996 0.4998 0.8278 [9 per cell]
Cd: 0.0034 0.3039 0.3289 [18 per cell]
Cd: 0.1676 0.3353 0.5183 [9 per cell]
Cd: 0.1692 0.3384 0.8099 [9 per cell]
Hg: 0.0000 0.0000 0.7806 [3 per cell]


16.
Below is crystalline Ce2CdHg at its relaxed geometry, with properties calculated at the GGA-PBE level.

Values from the calculation:
The distance to the lowest polymorph of the same formula is 0.00 eV per formula unit. The crystal system is tetragonal.

abc: 4.5992 4.5992 4.8299
angles: 90.00 90.00 90.00
Space group P4/mmm (No. 123)
One atom of each set of equivalent atoms:
Ce: 0.0000 0.5000 0.0000 [2 per cell]
Cd: 0.0000 0.0000 0.5000 [1 per cell]
Hg: 0.5000 0.5000 0.5000 [1 per cell]


17.
Below is crystalline Ce3CdHg4 at its relaxed geometry, with properties calculated at the GGA-PBE level.

Values from the calculation:
The crystal system is orthorhombic.

abc: 3.3953 9.8691 13.1929
angles: 90.00 90.00 90.00
Space group Immm (No. 71)
One atom of each set of equivalent atoms:
Ce: 0.0000 0.0000 0.0000 [2 per cell]
Ce: 0.0000 0.5000 0.2242 [4 per cell]
Cd: 0.0000 0.0000 0.5000 [2 per cell]
Hg: 0.0000 0.2563 0.3776 [8 per cell]


18.
Below is crystalline CeHoCd2Hg4 at its relaxed geometry, with properties calculated at the GGA-PBE level.

Values from the calculation:
The crystal system is trigonal.

abc: 5.1309 5.1309 25.2689
angles: 90.00 90.00 120.00
Space group R-3m (No. 166, hexagonal axes)
One atom of each set of equivalent atoms:
Ce: 0.0000 0.0000 0.0000 [3 per cell]
Ho: 0.0000 0.0000 0.5000 [3 per cell]
Cd: 0.0000 0.0000 0.2509 [6 per cell]
Hg: 0.0000 0.0000 0.1278 [6 per cell]
Hg: 0.0000 0.0000 0.3782 [6 per cell]


19.
Below is crystalline Ce2HoCd2Hg2 at its relaxed geometry, with properties calculated at the GGA-PBE level.

Values from the calculation:
The crystal system is trigonal.

abc: 4.8642 4.8642 25.9490
angles: 90.00 90.00 120.00
Space group R-3m (No. 166, hexagonal axes)
One atom of each set of equivalent atoms:
Ce: 0.0000 0.0000 0.1381 [6 per cell]
Ho: 0.0000 0.0000 0.0000 [3 per cell]
Cd: 0.0000 0.0000 0.2681 [6 per cell]
Hg: 0.0000 0.0000 0.4006 [6 per cell]


20.
Below is crystalline CeHo2CdHg4 at its relaxed geometry, with properties calculated at the GGA-PBE level.

Values from the calculation:
The crystal system is trigonal.

abc: 5.1129 5.1129 27.0734
angles: 90.00 90.00 120.00
Space group R-3m (No. 166, hexagonal axes)
One atom of each set of equivalent atoms:
Ce: 0.0000 0.0000 0.0000 [3 per cell]
Ho: 0.0000 0.0000 0.2406 [6 per cell]
Cd: 0.0000 0.0000 0.5000 [3 per cell]
Hg: 0.0000 0.0000 0.1240 [6 per cell]
Hg: 0.0000 0.0000 0.3781 [6 per cell]


| no. | uncorrected energy (eV per atom) | V (Å³/atom) |
| --- | --- | --- |
| 1 | -2.56 | 26.47 |
| 2 | -2.21 | 24.50 |
| 3 | -2.77 | 24.99 |
| 4 | -1.98 | 24.99 |
| 5 | -4.26 | 26.22 |
| 6 | -4.28 | 24.31 |
| 7 | -2.97 | 27.08 |
| 8 | -1.04 | 33.39 |
| 9 | -2.61 | 28.35 |
| 10 | -1.74 | 26.16 |
| 11 | -1.47 | 26.45 |
| 12 | -2.25 | 25.68 |
| 13 | -2.29 | 24.55 |
| 14 | -1.50 | 24.66 |
| 15 | -1.18 | 23.95 |
| 16 | -3.50 | 25.54 |
| 17 | -2.66 | 27.63 |
| 18 | -2.04 | 24.00 |
| 19 | -2.88 | 25.32 |
| 20 | -2.51 | 25.54 |